The following is a DFT calculation (PBE) of crystalline Cs2Rb3ReO6 at its relaxed geometry.

a b c (Å): 6.846 6.846 6.398
angles (deg): 100.34 100.34 120.22
Positions (direct):
Cs 0.332 0.668 0.000
Rb 0.500 0.500 0.500
Re 0.000 0.000 0.000
O 0.708 0.937 0.812
O 0.169 0.169 0.816
O 0.831 0.831 0.184
Cs 0.668 0.332 0.000
Rb 0.159 0.841 0.500
O 0.063 0.292 0.188
Rb 0.841 0.159 0.500
O 0.292 0.063 0.188
O 0.937 0.708 0.812

Summary:
- Total moment: 0.00 μB per atom
- Total energy: -5.45 eV/atom
- E above lowest polymorph: 10 meV/atom